# 1
A plane-wave DFT calculation with PBE-GGA was carried out for crystalline PrTmCu10 at its relaxed geometry.

Cell and atoms, written as POSCAR:
```
PrTmCu10
1.0
4.1091 0.0000 0.0000
0.0000 5.0572 0.0000
0.0000 0.0000 8.7220
Pr Tm Cu
1 1 10
Direct
0.0000 0.0000 0.0000
0.0000 0.5000 0.5000
0.0000 0.0000 0.3392
0.0000 0.0000 0.6608
0.0000 0.5000 0.1735
0.0000 0.5000 0.8265
0.5000 0.0000 0.5000
0.5000 0.2530 0.2556
0.5000 0.2530 0.7444
0.5000 0.5000 0.0000
0.5000 0.7470 0.2556
0.5000 0.7470 0.7444
```

crystal system = orthorhombic
N(E_F) = 6.68 states/eV/f.u.
formation energy = -174 meV/atom

---

# 2
A plane-wave DFT calculation with PBE-GGA was carried out for crystalline PrTm3Cu2 at its relaxed geometry.

Cell and atoms, written as POSCAR:
```
PrTm3Cu2
1.0
3.4547 0.0000 0.0000
0.0000 3.4547 0.0000
0.0000 0.0000 12.2011
Pr Tm Cu
1 3 2
Direct
0.0000 0.0000 0.0000
0.5000 0.5000 0.2247
0.5000 0.5000 0.5000
0.5000 0.5000 0.7753
0.0000 0.0000 0.3589
0.0000 0.0000 0.6411
```

crystal system = tetragonal
N(E_F) = 4.99 states/eV/f.u.
formation energy = -178 meV/atom

---

# 3
A plane-wave DFT calculation with PBE-GGA was carried out for crystalline PrTmCu at its relaxed geometry.

Cell and atoms, written as POSCAR:
```
PrTmCu
1.0
4.7567 0.0000 0.0000
-2.3784 4.1195 0.0000
0.0000 0.0000 4.0353
Pr Tm Cu
1 1 1
Direct
0.0000 0.0000 0.0000
0.6667 0.3333 0.5009
0.3333 0.6667 0.4894
```

crystal system = trigonal
N(E_F) = 3.60 states/eV/f.u.
E above lowest polymorph = 176 meV per atom
formation energy = 46 meV/atom

---

# 4
A plane-wave DFT calculation with PBE-GGA was carried out for crystalline PrTm2Cu at its relaxed geometry.

Cell and atoms, written as POSCAR:
```
PrTm2Cu
1.0
3.6344 0.0000 0.0000
-1.8172 3.1475 0.0000
0.0000 0.0000 29.3391
Pr Tm Cu
3 6 3
Direct
0.0000 0.0000 0.0000
0.3333 0.6667 0.6667
0.6667 0.3333 0.3333
0.0000 0.0000 0.2314
0.0000 0.0000 0.7686
0.3333 0.6667 0.4352
0.3333 0.6667 0.8981
0.6667 0.3333 0.1019
0.6667 0.3333 0.5648
0.0000 0.0000 0.5000
0.3333 0.6667 0.1667
0.6667 0.3333 0.8333
```

crystal system = trigonal
N(E_F) = 5.31 states/eV/f.u.
E above lowest polymorph = 131 meV per atom
formation energy = 16 meV/atom

---

no.,final energy (eV/cell)
1,-52.30
2,-27.45
3,-13.21
4,-53.27